(1)
DyHoAu4 | GGA-PBE | optimized geometry

CIF file:
```
data_DyHoAu4
_chemical_formula_sum 'Dy2 Ho2 Au8'
_cell_length_a 5.295
_cell_length_b 9.063
_cell_length_c 5.286
_cell_angle_alpha 90.00
_cell_angle_beta 90.00
_cell_angle_gamma 90.00
_space_group_name_H-M_alt 'C m m m'
_space_group_IT_number 65
_space_group_name_Hall '-C 2 2'
loop_
_atom_site_label
_atom_site_type_symbol
_atom_site_fract_x
_atom_site_fract_y
_atom_site_fract_z
_atom_site_occupancy
Dy1 Dy 0.000 0.000 0.000 1
Ho1 Ho 0.000 0.500 0.500 1
Au1 Au 0.000 0.165 0.500 1
Au2 Au 0.000 0.336 0.000 1
```

Values from the calculation:
DFT total energy	-4.582	eV/atom
density	14.60	g/cm³
spin magnetization	0.000	μB/f.u.
ΔE_f	-502	kJ/mol of formula units

=====

(2)
Dy2HoAu | GGA-PBE | optimized geometry

CIF file:
```
data_Dy2HoAu
_chemical_formula_sum 'Dy8 Ho4 Au4'
_cell_length_a 4.919
_cell_length_b 11.849
_cell_length_c 7.803
_cell_angle_alpha 90.00
_cell_angle_beta 90.00
_cell_angle_gamma 90.00
_space_group_name_H-M_alt 'C m c m'
_space_group_IT_number 63
_space_group_name_Hall '-C 2c 2'
loop_
_atom_site_label
_atom_site_type_symbol
_atom_site_fract_x
_atom_site_fract_y
_atom_site_fract_z
_atom_site_occupancy
Dy1 Dy 0.000 0.143 0.035 1
Ho1 Ho 0.000 0.458 0.250 1
Au1 Au 0.000 0.296 0.750 1
```

Values from the calculation:
DFT total energy	-4.663	eV/atom
density	10.03	g/cm³
energy above the most stable polymorph in this dataset	0.050	eV per atom
spin magnetization	0.001	μB/f.u.
ΔE_f	-154	kJ/mol of formula units

=====

(3)
LiDyHoAu | GGA-PBE | optimized geometry

CIF file:
```
data_LiDyHoAu
_chemical_formula_sum 'Li4 Dy4 Ho4 Au4'
_cell_length_a 7.194
_cell_length_b 7.194
_cell_length_c 7.194
_cell_angle_alpha 90.00
_cell_angle_beta 90.00
_cell_angle_gamma 90.00
_space_group_name_H-M_alt 'F -4 3 m'
_space_group_IT_number 216
_space_group_name_Hall 'F -4 2 3'
loop_
_atom_site_label
_atom_site_type_symbol
_atom_site_fract_x
_atom_site_fract_y
_atom_site_fract_z
_atom_site_occupancy
Li1 Li 0.000 0.000 0.000 1
Dy1 Dy 0.250 0.250 0.250 1
Ho1 Ho 0.250 0.250 0.750 1
Au1 Au 0.000 0.000 0.500 1
```

Values from the calculation:
DFT total energy	-4.002	eV/atom
density	9.48	g/cm³
spin magnetization	0.000	μB/f.u.
ΔE_f	-158	kJ/mol of formula units

=====

(4)
LiDyHo2Au4 | GGA-PBE | optimized geometry

CIF file:
```
data_LiDyHo2Au4
_chemical_formula_sum 'Li3 Dy3 Ho6 Au12'
_cell_length_a 4.9765
_cell_length_b 4.9765
_cell_length_c 24.4490
_cell_angle_alpha 90.00
_cell_angle_beta 90.00
_cell_angle_gamma 120.00
_space_group_name_H-M_alt 'R -3 m'
_space_group_IT_number 166
_space_group_name_Hall '-R 3 2"'
loop_
_atom_site_label
_atom_site_type_symbol
_atom_site_fract_x
_atom_site_fract_y
_atom_site_fract_z
_atom_site_occupancy
Li1 Li 0.0000 0.0000 0.0000 1
Dy1 Dy 0.0000 0.0000 0.5000 1
Ho1 Ho 0.0000 0.0000 0.2562 1
Au1 Au 0.0000 0.0000 0.1272 1
Au2 Au 0.0000 0.0000 0.3779 1
```

Values from the calculation:
DFT total energy	-4.384	eV/atom
density	12.23	g/cm³
spin magnetization	0.000	μB/f.u.
ΔE_f	-607	kJ/mol of formula units

=====

(5)
DyHoNiAu | GGA-PBE | optimized geometry

CIF file:
```
data_DyHoNiAu
_chemical_formula_sum 'Dy2 Ho2 Ni2 Au2'
_cell_length_a 4.515
_cell_length_b 3.750
_cell_length_c 10.433
_cell_angle_alpha 90.00
_cell_angle_beta 90.00
_cell_angle_gamma 90.00
_space_group_name_H-M_alt 'A m m 2'
_space_group_IT_number 38
loop_
_space_group_symop_operation_xyz
'x,y,z'
'-x,-y,z'
'-x,y,z'
'x,-y,z'
'x,y+1/2,z+1/2'
'-x,-y+1/2,z+1/2'
'-x,y+1/2,z+1/2'
'x,-y+1/2,z+1/2'
loop_
_atom_site_label
_atom_site_type_symbol
_atom_site_fract_x
_atom_site_fract_y
_atom_site_fract_z
_atom_site_occupancy
Dy1 Dy 0.000 0.000 0.000 1
Ho1 Ho 0.500 0.000 0.720 1
Ni1 Ni 0.000 0.000 0.276 1
Au1 Au 0.500 0.000 0.437 1
```

Values from the calculation:
DFT total energy	-5.209	eV/atom
density	10.96	g/cm³
energy above the most stable polymorph in this dataset	0.000	eV per atom
spin magnetization	0.000	μB/f.u.
ΔE_f	-251	kJ/mol of formula units

=====

(6)
DyHoNiAu | GGA-PBE | optimized geometry

CIF file:
```
data_DyHoNiAu
_chemical_formula_sum 'Dy4 Ho4 Ni4 Au4'
_cell_length_a 6.991
_cell_length_b 6.991
_cell_length_c 6.991
_cell_angle_alpha 90.00
_cell_angle_beta 90.00
_cell_angle_gamma 90.00
_space_group_name_H-M_alt 'F -4 3 m'
_space_group_IT_number 216
_space_group_name_Hall 'F -4 2 3'
loop_
_atom_site_label
_atom_site_type_symbol
_atom_site_fract_x
_atom_site_fract_y
_atom_site_fract_z
_atom_site_occupancy
Dy1 Dy 0.000 0.000 0.000 1
Ho1 Ho 0.000 0.000 0.500 1
Ni1 Ni 0.250 0.250 0.250 1
Au1 Au 0.250 0.250 0.750 1
```

Values from the calculation:
DFT total energy	-5.157	eV/atom
density	11.33	g/cm³
energy above the most stable polymorph in this dataset	0.052	eV per atom
spin magnetization	0.000	μB/f.u.
ΔE_f	-231	kJ/mol of formula units